FeSb: relaxed, PBE.

Results
- symmetry = P2_12_12_1, No. 19
- N(E_F) (states/eV/atom) = 1.00
- energy relative to the elements, uncorrected (meV per atom) = 121
- VASP energy (eV/atom) = -6.17
- magnetization (Bohr magnetons per cell) = 14.55

```
data_FeSb
_chemical_formula_sum 'Fe8 Sb8'
_cell_length_a 5.2860
_cell_length_b 6.9741
_cell_length_c 8.1197
_cell_angle_alpha 90.00
_cell_angle_beta 90.00
_cell_angle_gamma 90.00
_space_group_name_H-M_alt 'P 1'
_space_group_IT_number 1
_space_group_name_Hall 'P 1'
loop_
_atom_site_label
_atom_site_type_symbol
_atom_site_fract_x
_atom_site_fract_y
_atom_site_fract_z
Fe1 Fe 0.0112 0.1670 0.1199
Fe2 Fe 0.2280 0.9805 0.3683
Fe3 Fe 0.2720 0.0195 0.8683
Fe4 Fe 0.4888 0.8330 0.6199
Fe5 Fe 0.5112 0.3330 0.8801
Fe6 Fe 0.7280 0.5195 0.6317
Fe7 Fe 0.7720 0.4805 0.1317
Fe8 Fe 0.9888 0.6670 0.3801
Sb1 Sb 0.0010 0.8102 0.0902
Sb2 Sb 0.0232 0.3668 0.8553
Sb3 Sb 0.4768 0.6332 0.3553
Sb4 Sb 0.4990 0.1898 0.5902
Sb5 Sb 0.5010 0.6898 0.9098
Sb6 Sb 0.5232 0.1332 0.1447
Sb7 Sb 0.9768 0.8668 0.6447
Sb8 Sb 0.9990 0.3102 0.4098
```